# Sr2LaZn2

Crystalline Sr2LaZn2 at its relaxed geometry (PBE-GGA, Alexandria via LeMat-Bulk).

POSCAR file:
```
Sr2LaZn2
1.0
-2.523 2.523 6.580
2.523 -2.523 6.580
2.523 2.523 -6.580
Sr La Zn
2 1 2
direct
0.250 0.750 0.500
0.750 0.250 0.500
0.000 0.000 0.000
0.408 0.408 0.000
0.592 0.592 0.000
```

Computed properties:
As for the total magnetization: 1.54 μB/f.u. Its energy above the most stable polymorph in this dataset is 190 meV/atom. The formation enthalpy at 0 K is 0.059 eV per atom. Its space group is I4/mmm.

=====

# SrLa2Zn2

Crystalline SrLa2Zn2 at its relaxed geometry (PBE-GGA, Alexandria via LeMat-Bulk).

POSCAR file:
```
SrLa2Zn2
1.0
-2.704 2.704 5.622
2.704 -2.704 5.622
2.704 2.704 -5.622
Sr La Zn
1 2 2
direct
0.000 0.000 0.000
0.364 0.364 0.000
0.636 0.636 0.000
0.250 0.750 0.500
0.750 0.250 0.500
```

Computed properties:
As for the total magnetization: 0.00 μB/f.u. Its energy above the most stable polymorph in this dataset is 168 meV/atom. The formation enthalpy at 0 K is 0.017 eV per atom. Its space group is I4/mmm.

=====

# SrLa2Zn

Crystalline SrLa2Zn at its relaxed geometry (PBE-GGA, Alexandria via LeMat-Bulk).

POSCAR file:
```
SrLa2Zn
1.0
1.954 1.128 11.261
-1.954 1.128 11.261
0.000 -2.257 11.261
Sr La Zn
1 2 1
direct
0.000 0.000 0.000
0.230 0.230 0.230
0.434 0.434 0.434
0.833 0.833 0.833
```

Computed properties:
As for the total magnetization: 0.00 μB/f.u. The formation enthalpy at 0 K is 0.023 eV per atom. Its space group is R3m.

=====

# SrLaZn

Crystalline SrLaZn at its relaxed geometry (PBE-GGA, Alexandria via LeMat-Bulk).

POSCAR file:
```
SrLaZn
1.0
0.000 3.777 3.777
3.777 0.000 3.777
3.777 3.777 0.000
Sr La Zn
1 1 1
direct
0.000 0.000 0.000
0.500 0.500 0.500
0.250 0.250 0.250
```

Computed properties:
As for the total magnetization: 0.00 μB/f.u. Its energy above the most stable polymorph in this dataset is 186 meV/atom. The formation enthalpy at 0 K is 0.047 eV per atom. Its space group is F-43m.